1.
VASP calculation (GGA-PBE) on crystalline K2Pm2AlO6 at its relaxed geometry.

```
11
Lattice="2.9442 -5.0652 0.0000 2.9442 5.0652 0.0000 -1.6913 0.0000 6.3814" Properties=species:S:1:pos:R:3 pbc="T T T"
K 2.9442 3.4842 0.0000
K 2.9442 -3.4842 0.0000
Pm 2.0986 1.6592 3.1907
Pm 2.0986 -1.6592 3.1907
Al -0.8457 0.0000 3.1907
O -0.0108 1.4988 4.2675
O 0.7941 0.0000 2.1255
O -0.0108 -1.4988 4.2675
O 4.2079 1.4988 2.1139
O 3.4030 0.0000 4.2559
O 4.2079 -1.4988 2.1139
```

## Properties
space-group type	C2/m (12)
energy relative to the elements, uncorrected	-26.62	eV/f.u.
magnetization	1.10	μB/cell



2.
VASP calculation (GGA-PBE) on crystalline TaNbSi2Rh at its relaxed geometry.

```
5
Lattice="4.7313 0.0000 0.0000 0.0000 4.7313 0.0000 0.0000 0.0000 4.8526" Properties=species:S:1:pos:R:3 pbc="T T T"
Ta 0.0000 0.0000 0.0000
Nb 0.0000 0.0000 2.4263
Si 0.0000 2.3657 0.0000
Si 2.3657 0.0000 0.0000
Rh 2.3657 2.3657 2.4263
```

## Properties
space-group type	P4/mmm (123)
energy relative to the elements, uncorrected	6.43	eV/f.u.
magnetization	0.00	μB/cell



3.
VASP calculation (GGA-PBE) on crystalline Ac5PmS6 at its relaxed geometry.

```
12
Lattice="3.6887 -6.3979 0.0000 3.6887 6.3979 0.0000 -2.4782 0.0000 6.9582" Properties=species:S:1:pos:R:3 pbc="T T T"
Ac 0.0000 0.0000 0.0000
Ac 2.4496 4.2730 3.4791
Ac 3.6887 2.1620 0.0000
Ac 3.6887 -2.1620 0.0000
Ac 2.4496 -4.2730 3.4791
Pm 2.4496 0.0000 3.4791
S 1.2624 2.0731 1.7942
S 0.0584 0.0000 5.1906
S 1.2624 -2.0731 1.7942
S 3.6368 2.0731 5.1639
S 4.8408 0.0000 1.7676
S 3.6368 -2.0731 5.1639
```

## Properties
space-group type	C2/m (12)
energy relative to the elements, uncorrected	-24.07	eV/f.u.
magnetization	0.00	μB/cell



4.
VASP calculation (GGA-PBE) on crystalline La4NdTm2 at its relaxed geometry.

```
14
Lattice="-3.4998 5.8147 6.0479 3.4998 -5.8147 6.0479 3.4998 5.8147 -6.0479" Properties=species:S:1:pos:R:3 pbc="T T T"
La 0.0000 0.0294 1.8703
La 1.5263 2.9074 0.1023
La 1.9735 -2.9074 6.1502
La 3.4998 0.0294 4.1776
La 0.0000 5.7853 1.8703
La 1.5263 8.7221 -0.1023
La 1.9735 2.9074 5.9456
La 3.4998 5.7853 4.1776
Nd 1.7499 2.9074 -3.0240
Nd 1.7499 -2.9074 3.0240
Tm 3.4998 0.0000 0.0000
Tm 3.4998 2.9074 2.6120
Tm 0.0000 0.0000 6.0479
Tm 0.0000 2.9074 3.4359
```

## Properties
space-group type	Imma (74)
calculated formation energy	230	meV/atom
magnetization	0.00	μB/cell



5.
VASP calculation (GGA-PBE) on crystalline ThFeOs at its relaxed geometry.

```
12
Lattice="0.0000 6.5337 9.1760 2.0746 0.0000 9.1760 2.0746 6.5337 0.0000" Properties=species:S:1:pos:R:3 pbc="T T T"
Th 0.5187 1.6334 0.4212
Th 0.5187 1.6334 4.1668
Th 3.6306 11.4339 14.1852
Th 3.6306 11.4339 17.9308
Fe 1.5560 3.7085 6.8820
Fe 1.5560 6.0920 6.8820
Fe 2.5933 6.9753 11.4700
Fe 2.5933 9.3588 11.4700
Os 1.5560 0.8562 6.8820
Os 2.5933 4.1231 11.4700
Os 1.5560 8.9442 6.8820
Os 2.5933 12.2111 11.4700
```

## Properties
space-group type	Fddd (70)
calculated formation energy	67	meV/atom
magnetization	6.01	μB/cell



6.
VASP calculation (GGA-PBE) on crystalline PaGe2 at its relaxed geometry.

```
6
Lattice="0.0000 3.9082 3.9082 3.9082 0.0000 3.9082 3.9082 3.9082 0.0000" Properties=species:S:1:pos:R:3 pbc="T T T"
Pa 0.9771 0.9771 0.9771
Pa 6.8394 6.8394 6.8394
Ge 3.9082 1.9541 1.9541
Ge 1.9541 3.9082 1.9541
Ge 1.9541 1.9541 3.9082
Ge 3.9082 3.9082 3.9082
```

## Properties
space-group type	Fd-3m (227)
calculated formation energy	-160	meV/atom
magnetization	2.32	μB/cell



7.
VASP calculation (GGA-PBE) on crystalline CaCoH3 at its relaxed geometry.

```
5
Lattice="3.4924 0.0000 0.0000 0.0000 3.4924 0.0000 0.0000 0.0000 3.4924" Properties=species:S:1:pos:R:3 pbc="T T T"
Ca 0.0000 0.0000 0.0000
Co 1.7462 1.7462 1.7462
H 0.0000 1.7462 1.7462
H 1.7462 0.0000 1.7462
H 1.7462 1.7462 0.0000
```

## Properties
total DFT energy (no corrections)	-4.252	eV/atom
space-group type	Pm-3m (221)
magnetization	0.00	μB/cell



8.
VASP calculation (GGA-PBE) on crystalline Na3Pu2BeS6 at its relaxed geometry.

```
12
Lattice="3.3011 -5.9173 0.0000 3.3011 5.9173 0.0000 -2.1776 0.0000 6.6236" Properties=species:S:1:pos:R:3 pbc="T T T"
Na 0.0000 0.0000 0.0000
Na 3.3011 1.9574 0.0000
Na 3.3011 -1.9574 0.0000
Pu 2.2123 3.9429 3.3118
Pu 2.2123 -3.9429 3.3118
Be 2.2123 0.0000 3.3118
S 1.1158 1.9615 1.8054
S 0.3878 0.0000 4.5699
S 1.1158 -1.9615 1.8054
S 3.3088 1.9615 4.8182
S 4.0367 0.0000 2.0538
S 3.3088 -1.9615 4.8182
```

## Properties
space-group type	C2/m (12)
energy relative to the elements, uncorrected	-14.67	eV/f.u.
magnetization	9.00	μB/cell



9.
VASP calculation (GGA-PBE) on crystalline LaMgIn2Hg5 at its relaxed geometry.

```
9
Lattice="-2.5551 3.2732 7.6906 2.5551 -3.2732 7.6906 2.5551 3.2732 -7.6906" Properties=species:S:1:pos:R:3 pbc="T T T"
La 0.0000 0.0000 0.0000
Mg 0.0000 0.0000 7.6906
In 2.5551 0.0000 4.7807
In 0.0000 3.2732 2.9100
Hg 2.5551 1.4886 -2.1675
Hg 2.5551 1.4886 2.1675
Hg 0.0000 3.2732 0.0000
Hg 0.0000 1.7846 5.5231
Hg 0.0000 1.7846 9.8582
```

## Properties
space-group type	Immm (71)
calculated formation energy	-51	meV/atom
magnetization	0.00	μB/cell



10.
VASP calculation (GGA-PBE) on crystalline ScRhO3 at its relaxed geometry.

```
5
Lattice="3.8619 0.0000 0.0000 0.0000 3.8619 0.0000 0.0000 0.0000 3.8619" Properties=species:S:1:pos:R:3 pbc="T T T"
Sc 0.0000 0.0000 0.0000
Rh 1.9310 1.9310 1.9310
O 0.0000 1.9310 1.9310
O 1.9310 0.0000 1.9310
O 1.9310 1.9310 0.0000
```

## Properties
space-group type	Pm-3m (221)
energy relative to the elements, uncorrected	-5.99	eV/f.u.
magnetization	0.00	μB/cell



11.
VASP calculation (GGA-PBE) on crystalline MgCoHg2 at its relaxed geometry.

```
4
Lattice="3.3694 0.0000 0.0000 0.0000 3.3694 0.0000 0.0000 0.0000 6.4748" Properties=species:S:1:pos:R:3 pbc="T T T"
Mg 0.0000 0.0000 0.0000
Co 1.6847 1.6847 1.3156
Hg 0.0000 0.0000 2.7665
Hg 1.6847 1.6847 4.7921
```

## Properties
space-group type	P4mm (99)
calculated formation energy	177	meV/atom
magnetization	1.18	μB/cell



12.
VASP calculation (GGA-PBE) on crystalline Sc5CdHg6 at its relaxed geometry.

```
12
Lattice="7.8354 -3.5656 0.0000 7.8354 3.5656 0.0000 -1.5345 0.0000 4.6853" Properties=species:S:1:pos:R:3 pbc="T T T"
Sc 0.0000 0.0000 0.0000
Sc 1.6229 0.0000 3.1339
Sc 4.8079 0.0000 1.5938
Sc 9.3283 0.0000 3.0915
Sc 12.5133 0.0000 1.5514
Cd 7.8354 0.0000 0.0000
Hg 3.8985 1.8053 3.8892
Hg 7.0681 1.8370 2.3426
Hg 10.2377 1.8053 0.7961
Hg 3.8985 -1.8053 3.8892
Hg 7.0681 -1.8370 2.3426
Hg 10.2377 -1.8053 0.7961
```

## Properties
space-group type	C2/m (12)
calculated formation energy	-374	meV/atom
magnetization	0.00	μB/cell